# 1
Computed, not measured: a geometry-optimized RbTbF4 structure at the PBE level of DFT.

Cell: 6.0635 7.0569 7.0659 Å, 115.01 109.87 100.28°
With the nearest neighbours (Å) after each atom.
Fractional positions:
Rb 0.3940 0.6440 0.2879  8 F 2.84-3.02
Rb 0.6060 0.3560 0.7121  8 F 2.84-3.02
Tb 0.2322 0.9822 0.9645  8 F 2.27-2.38
Tb 0.7678 0.0178 0.0355  8 F 2.27-2.38
F 0.9862 0.1869 0.8958  2 Tb 2.33-2.34, 2 F 2.47-2.51
F 0.8159 0.7668 0.7114  2 Tb 2.27-2.38, 2 F 2.47-2.51
F 0.4096 0.7089 0.8958  2 Tb 2.33-2.34, 2 F 2.47-2.51
F 0.3955 0.9445 0.7114  2 Tb 2.27-2.38, 2 F 2.47-2.51
F 0.6045 0.0555 0.2886  2 Tb 2.27-2.38, 2 F 2.47-2.51
F 0.5904 0.2911 0.1042  2 Tb 2.33-2.34, 2 F 2.47-2.51
F 0.1841 0.2332 0.2886  2 Tb 2.27-2.38, 2 F 2.47-2.51
F 0.0138 0.8131 0.1042  2 Tb 2.33-2.34, 2 F 2.47-2.51

Values from the calculation:
Its symmetry is C2/c (15).

# 2
Computed, not measured: a geometry-optimized Ca2CoRu structure at the PBE level of DFT.

Cell: 4.8395 4.8395 3.5461 Å, 90.00 90.00 102.10°
With the nearest neighbours (Å) after each atom.
Fractional positions:
Ru 0.0000 0.5000 0.5000  8 Ca 3.00, 2 Co 3.04
Ca 0.0000 0.0000 0.0000  4 Ru 3.00, 4 Co 3.00, 2 Ca 3.04
Ca 0.5000 0.5000 0.0000  4 Co 3.00, 4 Ru 3.00, 2 Ca 3.04
Co 0.5000 0.0000 0.5000  8 Ca 3.00, 2 Ru 3.04

Values from the calculation:
Its symmetry is Cmmm (65). The formation energy comes out at 0.51 eV/atom.

# 3
Computed, not measured: a geometry-optimized ZrFe2Br structure at the PBE level of DFT.

Cell: 3.1401 3.1807 7.3999 Å, 77.58 90.00 90.00°
With the nearest neighbours (Å) after each atom.
Fractional positions:
Br 0.5000 0.9437 0.7364  2 Fe 2.89, 4 Zr 2.99, 4 Br 3.14-3.18
Fe 0.0000 0.7770 0.0719  4 Fe 2.51, 1 Zr 2.81
Fe 0.5000 0.1974 0.2307  4 Fe 2.51, 4 Zr 2.79
Zr 0.0000 0.5819 0.4610  5 Fe 2.79-2.81, 4 Br 2.99

Values from the calculation:
Its symmetry is Amm2 (38). The distance to the lowest polymorph of the same formula is 0.0 meV per atom.

# 4
Computed, not measured: a geometry-optimized LaRuO4 structure at the PBE level of DFT.

Cell: 5.3901 5.3901 7.0524 Å, 112.47 112.47 90.00°
With the nearest neighbours (Å) after each atom.
Fractional positions:
La 0.0000 0.0000 0.0000  8 O 2.48-2.56
La 0.7500 0.2500 0.5000  8 O 2.48-2.56
Ru 0.5000 0.5000 0.0000  4 O 1.85
Ru 0.2500 0.7500 0.5000  4 O 1.85
O 0.0190 0.9255 0.3420  1 Ru 1.85
O 0.1665 0.2690 0.8420  1 Ru 1.85
O 0.6755 0.5730 0.8420  1 Ru 1.85
O 0.3230 0.4165 0.3420  1 Ru 1.85
O 0.4270 0.8335 0.1580  1 Ru 1.85
O 0.0745 0.6770 0.6580  1 Ru 1.85
O 0.5835 0.9810 0.6580  1 Ru 1.85
O 0.7310 0.3245 0.1580  1 Ru 1.85

Values from the calculation:
Its symmetry is I4_1/a (88). The distance to the lowest polymorph of the same formula is 104.1 meV per atom.

# 5
Computed, not measured: a geometry-optimized Ac3Al2Ge6 structure at the PBE level of DFT.

Cell: 4.4724 4.4724 14.8455 Å, 98.66 98.66 90.00°
With the nearest neighbours (Å) after each atom.
Fractional positions:
Ac 0.0000 0.0000 0.0000  8 Ge 3.29
Ac 0.8232 0.8232 0.6465  5 Ge 3.07-3.37, 4 Al 3.42
Ac 0.1768 0.1768 0.3535  5 Ge 3.07-3.37, 4 Al 3.42
Al 0.3684 0.3684 0.7368  5 Ge 2.49-2.64
Al 0.6316 0.6316 0.2632  5 Ge 2.49-2.64
Ge 0.0830 0.5830 0.1660  2 Al 2.64
Ge 0.5830 0.0830 0.1660  2 Al 2.64
Ge 0.9170 0.4170 0.8340  2 Al 2.64
Ge 0.4170 0.9170 0.8340  2 Al 2.64
Ge 0.7173 0.7173 0.4346  1 Al 2.49
Ge 0.2827 0.2827 0.5654  1 Al 2.49

Values from the calculation:
Its symmetry is I4/mmm (139). The formation energy comes out at -0.41 eV/atom.

# 6
Computed, not measured: a geometry-optimized AcPm14Sm structure at the PBE level of DFT.

Cell: 7.4058 7.4058 11.8789 Å, 90.00 90.00 119.99°
With the nearest neighbours (Å) after each atom.
Fractional positions:
Ac 0.1664 0.8336 0.0000  10 Pm 3.69-3.70, 2 Sm 3.70
Pm 0.6671 0.3329 0.5000  12 Pm 3.63-3.71
Pm 0.1666 0.8334 0.5000  12 Pm 3.63-3.70
Pm 0.1684 0.3348 0.0000  8 Pm 3.66-3.73, 2 Sm 3.68-3.72, 2 Ac 3.70
Pm 0.1662 0.3331 0.5000  12 Pm 3.62-3.71
Pm 0.6652 0.8316 0.0000  8 Pm 3.66-3.73, 2 Sm 3.68-3.72, 2 Ac 3.70
Pm 0.6669 0.8338 0.5000  12 Pm 3.62-3.71
Pm 0.3344 0.1684 0.7469  10 Pm 3.63-3.72, 1 Sm 3.68, 1 Ac 3.69
Pm 0.3344 0.1684 0.2531  10 Pm 3.63-3.72, 1 Sm 3.68, 1 Ac 3.69
Pm 0.8316 0.6656 0.7469  10 Pm 3.63-3.72, 1 Sm 3.68, 1 Ac 3.69
Pm 0.8316 0.6656 0.2531  10 Pm 3.63-3.72, 1 Sm 3.68, 1 Ac 3.69
Pm 0.8335 0.1665 0.7504  11 Pm 3.66-3.70, 1 Sm 3.66
Pm 0.8335 0.1665 0.2496  11 Pm 3.66-3.70, 1 Sm 3.66
Pm 0.3342 0.6658 0.7466  11 Pm 3.62-3.72, 1 Ac 3.70
Pm 0.3342 0.6658 0.2534  11 Pm 3.62-3.72, 1 Ac 3.70
Sm 0.6656 0.3344 0.0000  10 Pm 3.66-3.72, 2 Ac 3.70

Values from the calculation:
Its symmetry is Amm2 (38). The formation energy comes out at 0.04 eV/atom.

# 7
Computed, not measured: a geometry-optimized PmScI5 structure at the PBE level of DFT.

Cell: 4.1274 9.5103 14.9497 Å, 97.18 90.00 90.00°
With the nearest neighbours (Å) after each atom.
Fractional positions:
Pm 0.2500 0.4057 0.3391  6 I 3.11-3.21
Pm 0.7500 0.5943 0.6609  6 I 3.11-3.21
Sc 0.7500 0.1025 0.1449  7 I 3.01-3.21
Sc 0.2500 0.8975 0.8551  7 I 3.01-3.21
I 0.2500 0.0683 0.2947  2 Sc 3.09, 1 Pm 3.19
I 0.7500 0.1166 0.9313  3 Sc 3.05-3.21
I 0.7500 0.3187 0.4829  3 Pm 3.16-3.49
I 0.2500 0.3268 0.1240  2 Sc 3.01, 1 Pm 3.21
I 0.2500 0.3758 0.7157  2 Pm 3.11
I 0.7500 0.6242 0.2843  2 Pm 3.11
I 0.7500 0.6732 0.8760  2 Sc 3.01, 1 Pm 3.21
I 0.2500 0.6813 0.5171  3 Pm 3.16-3.49
I 0.2500 0.8834 0.0687  3 Sc 3.05-3.21
I 0.7500 0.9317 0.7053  2 Sc 3.09, 1 Pm 3.19

Values from the calculation:
Its symmetry is P2_1/m (11).

# 8
Computed, not measured: a geometry-optimized ZrPa2S5 structure at the PBE level of DFT.

Cell: 7.2050 7.7244 11.5709 Å, 90.00 90.00 90.00°
With the nearest neighbours (Å) after each atom.
Fractional positions:
Zr 0.4140 0.2500 0.4993  7 S 2.56-2.80
Zr 0.5860 0.7500 0.5007  7 S 2.56-2.80
Zr 0.9140 0.7500 0.0007  7 S 2.56-2.80
Zr 0.0860 0.2500 0.9993  7 S 2.56-2.80
Pa 0.4732 0.4990 0.8211  8 S 2.80-2.94
Pa 0.5268 0.5010 0.1789  8 S 2.80-2.94
Pa 0.9732 0.5010 0.6789  8 S 2.80-2.94
Pa 0.5268 0.9990 0.1789  8 S 2.80-2.94
Pa 0.0268 0.4990 0.3211  8 S 2.80-2.94
Pa 0.4732 0.0010 0.8211  8 S 2.80-2.94
Pa 0.0268 0.0010 0.3211  8 S 2.80-2.94
Pa 0.9732 0.9990 0.6789  8 S 2.80-2.94
S 0.0397 0.2500 0.5001  1 Zr 2.70, 4 Pa 2.83-2.87
S 0.9603 0.7500 0.4999  1 Zr 2.70, 4 Pa 2.83-2.87
S 0.5397 0.7500 0.9999  1 Zr 2.70, 4 Pa 2.83-2.87
S 0.4603 0.2500 0.0001  1 Zr 2.70, 4 Pa 2.83-2.87
S 0.3360 0.9598 0.5950  2 Zr 2.56-2.66, 2 Pa 2.81-2.82
S 0.6640 0.0402 0.4050  2 Zr 2.56-2.66, 2 Pa 2.81-2.82
S 0.8360 0.0402 0.9050  2 Zr 2.56-2.66, 2 Pa 2.81-2.82
S 0.6640 0.4598 0.4050  2 Zr 2.56-2.66, 2 Pa 2.81-2.82
S 0.1640 0.9598 0.0950  2 Zr 2.56-2.66, 2 Pa 2.81-2.82
S 0.3360 0.5402 0.5950  2 Zr 2.56-2.66, 2 Pa 2.81-2.82
S 0.1640 0.5402 0.0950  2 Zr 2.56-2.66, 2 Pa 2.81-2.82
S 0.8360 0.4598 0.9050  2 Zr 2.56-2.66, 2 Pa 2.81-2.82
S 0.1947 0.2500 0.7854  1 Zr 2.60, 4 Pa 2.80-2.81
S 0.8053 0.7500 0.2146  1 Zr 2.60, 4 Pa 2.80-2.81
S 0.6947 0.7500 0.7146  1 Zr 2.60, 4 Pa 2.80-2.81
S 0.3053 0.2500 0.2854  1 Zr 2.60, 4 Pa 2.80-2.81
S 0.6674 0.2500 0.6826  1 Zr 2.80, 4 Pa 2.87-2.94
S 0.3326 0.7500 0.3174  1 Zr 2.80, 4 Pa 2.87-2.94
S 0.1674 0.7500 0.8174  1 Zr 2.80, 4 Pa 2.87-2.94
S 0.8326 0.2500 0.1826  1 Zr 2.80, 4 Pa 2.87-2.94

Values from the calculation:
Its symmetry is Pnma (62). The distance to the lowest polymorph of the same formula is 0.0 meV per atom.

# 9
Computed, not measured: a geometry-optimized SrBAs2Se structure at the PBE level of DFT.

Cell: 4.3365 4.3365 5.9828 Å, 90.00 90.00 90.00°
With the nearest neighbours (Å) after each atom.
Fractional positions:
Sr 0.5000 0.5000 0.5000  4 Se 3.07
As 0.0000 0.5000 0.0000  2 B 2.17
As 0.5000 0.0000 0.0000  2 B 2.17
B 0.0000 0.0000 0.0000  4 As 2.17
Se 0.0000 0.0000 0.5000  2 B 2.99, 4 Sr 3.07

Values from the calculation:
Its symmetry is P4/mmm (123). The distance to the lowest polymorph of the same formula is 0.0 meV per atom.

# 10
Computed, not measured: a geometry-optimized Lu2InCu structure at the PBE level of DFT.

Cell: 3.5372 3.5372 10.2743 Å, 80.09 80.09 60.00°
With the nearest neighbours (Å) after each atom.
Fractional positions:
Lu 0.1045 0.1045 0.6866  3 Cu 2.77
Lu 0.8955 0.8955 0.3134  3 Cu 2.77
Cu 0.5000 0.5000 0.5000  6 Lu 2.77
In 0.0000 0.0000 0.0000  2 Lu 3.16

Values from the calculation:
Its symmetry is R-3m (166). The formation energy comes out at 0.12 eV/atom.

# 11
Computed, not measured: a geometry-optimized K2NdThS4 structure at the PBE level of DFT.

Cell: 4.1563 7.1813 7.8116 Å, 107.79 90.00 90.00°
With the nearest neighbours (Å) after each atom.
Fractional positions:
K 0.5000 0.0000 0.5000  6 S 3.19-3.20
K 0.0000 0.5000 0.5000  6 S 3.24-3.25
Nd 0.5000 0.5000 0.0000  6 S 2.89
Th 0.0000 0.0000 0.0000  6 S 2.82-2.85
S 0.5000 0.2314 0.2106  2 Th 2.85, 1 Nd 2.89, 1 K 3.19
S 0.5000 0.7686 0.7894  2 Th 2.85, 1 Nd 2.89, 1 K 3.19
S 0.0000 0.2564 0.7887  1 Th 2.82, 2 Nd 2.89
S 0.0000 0.7436 0.2113  1 Th 2.82, 2 Nd 2.89

Values from the calculation:
Its symmetry is P2/m (10).

# 12
Computed, not measured: a geometry-optimized RbEuH2 structure at the PBE level of DFT.

Cell: 3.8415 3.8415 7.2412 Å, 74.62 74.62 60.00°
With the nearest neighbours (Å) after each atom.
Fractional positions:
Eu 0.0000 0.0000 0.0000  6 H 2.55
H 0.7271 0.7271 0.8188  3 Eu 2.55
H 0.2729 0.2729 0.1812  3 Eu 2.55
Rb 0.5000 0.5000 0.5000  6 H 3.12

Values from the calculation:
Its symmetry is R-3m (166).

Calculated total energy, -5.737 -4.585 -6.778 -7.559 -4.727 -4.671 -3.926 -7.631 -4.192 -3.845 -5.627 -4.682 eV per atom (same order as the records).